# 1
VASP calculation (PBE-GGA) on an optimized crystal structure of Ta2SnIr2.

Cell and atoms, written as CIF:
```
data_Ta2SnIr2
_cell_length_a 4.3777
_cell_length_b 4.3777
_cell_length_c 10.6227
_cell_angle_alpha 90.00
_cell_angle_beta 90.00
_cell_angle_gamma 90.00
_space_group_name_H-M_alt 'I 4/m m m'
_space_group_IT_number 139
_space_group_name_Hall '-I 4 2'
loop_
_atom_site_label
_atom_site_fract_x
_atom_site_fract_y
_atom_site_fract_z
_atom_site_occupancy
Ta1 0.0000 0.5000 0.2500 1
Sn1 0.0000 0.0000 0.0000 1
Ir1 0.0000 0.0000 0.3774 1
```

Output
- energy relative to the lowest polymorph listed for this composition (eV per formula unit) = 0.85



# 2
VASP calculation (PBE-GGA) on an optimized crystal structure of TaSn2Ir.

Cell and atoms, written as CIF:
```
data_TaSn2Ir
_cell_length_a 3.1115
_cell_length_b 3.1115
_cell_length_c 29.7225
_cell_angle_alpha 90.00
_cell_angle_beta 90.00
_cell_angle_gamma 120.00
_space_group_name_H-M_alt 'R -3 m'
_space_group_IT_number 166
_space_group_name_Hall '-R 3 2"'
loop_
_atom_site_label
_atom_site_fract_x
_atom_site_fract_y
_atom_site_fract_z
_atom_site_occupancy
Ta1 0.0000 0.0000 0.0000 1
Sn1 0.0000 0.0000 0.0958 1
Ir1 0.0000 0.0000 0.5000 1
```



# 3
VASP calculation (PBE-GGA) on an optimized crystal structure of Ta2SnIr.

Cell and atoms, written as CIF:
```
data_Ta2SnIr
_cell_length_a 3.9556
_cell_length_b 3.9556
_cell_length_c 19.7923
_cell_angle_alpha 90.00
_cell_angle_beta 90.00
_cell_angle_gamma 90.00
_space_group_name_H-M_alt 'I -4 2 d'
_space_group_IT_number 122
_space_group_name_Hall 'I -4 2bw'
loop_
_atom_site_label
_atom_site_fract_x
_atom_site_fract_y
_atom_site_fract_z
_atom_site_occupancy
Ta1 0.2474 0.2500 0.1250 1
Sn1 0.0000 0.0000 0.0000 1
Ir1 0.0000 0.0000 0.5000 1
```



# 4
VASP calculation (PBE-GGA) on an optimized crystal structure of TaSn3Ir.

Cell and atoms, written as CIF:
```
data_TaSn3Ir
_cell_length_a 5.0945
_cell_length_b 5.0945
_cell_length_c 5.0945
_cell_angle_alpha 90.00
_cell_angle_beta 90.00
_cell_angle_gamma 90.00
_space_group_name_H-M_alt 'P m -3 m'
_space_group_IT_number 221
_space_group_name_Hall '-P 4 2 3'
loop_
_atom_site_label
_atom_site_fract_x
_atom_site_fract_y
_atom_site_fract_z
_atom_site_occupancy
Ta1 0.0000 0.0000 0.0000 1
Sn1 0.0000 0.5000 0.5000 1
Ir1 0.5000 0.5000 0.5000 1
```

Output
- energy relative to the lowest polymorph listed for this composition (eV per formula unit) = 0.00



# 5
VASP calculation (PBE-GGA) on an optimized crystal structure of TaVSnIr2.

Cell and atoms, written as CIF:
```
data_TaVSnIr2
_cell_length_a 4.5200
_cell_length_b 4.5200
_cell_length_c 4.8044
_cell_angle_alpha 90.00
_cell_angle_beta 90.00
_cell_angle_gamma 90.00
_space_group_name_H-M_alt 'P 4/m m m'
_space_group_IT_number 123
_space_group_name_Hall '-P 4 2'
loop_
_atom_site_label
_atom_site_fract_x
_atom_site_fract_y
_atom_site_fract_z
_atom_site_occupancy
Ta1 0.0000 0.0000 0.0000 1
V1 0.5000 0.5000 0.5000 1
Sn1 0.5000 0.5000 0.0000 1
Ir1 0.0000 0.5000 0.5000 1
```



# 6
VASP calculation (PBE-GGA) on an optimized crystal structure of Tb5SnIr2.

Cell and atoms, written as CIF:
```
data_Tb5SnIr2
_cell_length_a 7.8163
_cell_length_b 7.8163
_cell_length_c 13.5288
_cell_angle_alpha 90.00
_cell_angle_beta 90.00
_cell_angle_gamma 90.00
_space_group_name_H-M_alt 'I 4/m c m'
_space_group_IT_number 140
_space_group_name_Hall '-I 4 2c'
loop_
_atom_site_label
_atom_site_fract_x
_atom_site_fract_y
_atom_site_fract_z
_atom_site_occupancy
Tb1 0.0000 0.0000 0.0000 1
Tb2 0.1596 0.3404 0.1339 1
Sn1 0.0000 0.0000 0.2500 1
Ir1 0.1390 0.3610 0.5000 1
```



# 7
VASP calculation (PBE-GGA) on an optimized crystal structure of Tb3Sn3Ir.

Cell and atoms, written as CIF:
```
data_Tb3Sn3Ir
_cell_length_a 11.1366
_cell_length_b 4.5013
_cell_length_c 15.0304
_cell_angle_alpha 90.00
_cell_angle_beta 109.20
_cell_angle_gamma 90.00
_space_group_name_H-M_alt 'C 1 2/m 1'
_space_group_IT_number 12
loop_
_space_group_symop_operation_xyz
'x,y,z'
'-x,-y,-z'
'-x,y,-z'
'x,-y,z'
'x+1/2,y+1/2,z'
'-x+1/2,-y+1/2,-z'
'-x+1/2,y+1/2,-z'
'x+1/2,-y+1/2,z'
loop_
_atom_site_label
_atom_site_fract_x
_atom_site_fract_y
_atom_site_fract_z
_atom_site_occupancy
Tb1 0.0185 0.0000 0.3795 1
Tb2 0.0991 0.0000 0.9229 1
Tb3 0.2367 0.0000 0.2434 1
Sn1 0.0194 0.5000 0.2332 1
Sn2 0.1259 0.5000 0.0765 1
Sn3 0.1481 0.5000 0.5326 1
Ir1 0.2455 0.5000 0.3806 1
```



# 8
VASP calculation (PBE-GGA) on an optimized crystal structure of Tb3Sn2Ir.

Cell and atoms, written as CIF:
```
data_Tb3Sn2Ir
_cell_length_a 12.4348
_cell_length_b 4.3921
_cell_length_c 11.6564
_cell_angle_alpha 90.00
_cell_angle_beta 90.00
_cell_angle_gamma 90.00
_space_group_name_H-M_alt 'P n m a'
_space_group_IT_number 62
loop_
_space_group_symop_operation_xyz
'x,y,z'
'-x,-y,-z'
'-x+1/2,-y,z+1/2'
'x+1/2,y,-z+1/2'
'x+1/2,-y+1/2,-z+1/2'
'-x+1/2,y+1/2,z+1/2'
'-x,y+1/2,-z'
'x,-y+1/2,z'
loop_
_atom_site_label
_atom_site_fract_x
_atom_site_fract_y
_atom_site_fract_z
_atom_site_occupancy
Tb1 0.0537 0.2500 0.1300 1
Tb2 0.1194 0.7500 0.5448 1
Tb3 0.2426 0.2500 0.7903 1
Sn1 0.0042 0.2500 0.6932 1
Sn2 0.1877 0.7500 0.9995 1
Ir1 0.1256 0.2500 0.3696 1
```



# 9
VASP calculation (PBE-GGA) on an optimized crystal structure of Tb3SnIr.

Cell and atoms, written as CIF:
```
data_Tb3SnIr
_cell_length_a 5.2591
_cell_length_b 5.5131
_cell_length_c 9.8427
_cell_angle_alpha 90.00
_cell_angle_beta 90.41
_cell_angle_gamma 90.00
_space_group_name_H-M_alt 'P 1 21/m 1'
_space_group_IT_number 11
loop_
_space_group_symop_operation_xyz
'x,y,z'
'-x,-y,-z'
'-x,y+1/2,-z'
'x,-y+1/2,z'
loop_
_atom_site_label
_atom_site_fract_x
_atom_site_fract_y
_atom_site_fract_z
_atom_site_occupancy
Tb1 0.0028 0.2500 0.0994 1
Tb2 0.0026 0.7500 0.3258 1
Tb3 0.4941 0.7500 0.6450 1
Sn1 0.4991 0.2500 0.8724 1
Ir1 0.0066 0.2500 0.3820 1
```



# 10
VASP calculation (PBE-GGA) on an optimized crystal structure of Tb12SnIr6.

Cell and atoms, written as CIF:
```
data_Tb12SnIr6
_cell_length_a 9.9851
_cell_length_b 9.9851
_cell_length_c 9.9851
_cell_angle_alpha 90.00
_cell_angle_beta 90.00
_cell_angle_gamma 90.00
_space_group_name_H-M_alt 'I m -3'
_space_group_IT_number 204
_space_group_name_Hall '-I 2 2 3'
loop_
_atom_site_label
_atom_site_fract_x
_atom_site_fract_y
_atom_site_fract_z
_atom_site_occupancy
Tb1 0.0000 0.1938 0.2997 1
Sn1 0.0000 0.0000 0.0000 1
Ir1 0.0000 0.3748 0.5000 1
```



Calculated values (A^3/atom) of volume for the records, taken in order: 20.36, 20.77, 19.35, 26.44, 19.63, 25.83, 25.41, 26.53, 28.54, 26.20.
Calculated values (eV per atom) of DFT total energy for the records, taken in order: -9.31, -6.79, -8.77, -5.57, -7.41, -6.35, -5.73, -5.91, -5.87, -6.56.
Calculated values (meV/atom) of energy relative to the elements for the records, taken in order: -222, 386, 375, 970, 1130, -743, -764, -786, -523, -626.